1.
A relaxed structure of YNi, computed with GGA-PBE.

Output
SG: Pm-3n

a b c (Å): 7.471 7.471 7.471
angles (deg): 90.00 90.00 90.00
Element x y z (fractional)
1 Y 0.250 0.500 0.000
2 Y 0.750 0.500 0.000
3 Y 0.500 0.000 0.250
4 Y 0.500 0.000 0.750
5 Y 0.000 0.250 0.500
6 Y 0.000 0.750 0.500
7 Ni 0.250 0.000 0.500
8 Ni 0.750 0.000 0.500
9 Ni 0.000 0.500 0.250
10 Ni 0.000 0.500 0.750
11 Ni 0.500 0.250 0.000
12 Ni 0.500 0.750 0.000

2.
A relaxed structure of YNi, computed with GGA-PBE.

Output
SG: R-3m

a b c (Å): 7.108 7.108 7.108
angles (deg): 32.43 32.43 32.43
Element x y z (fractional)
1 Ni 0.332 0.332 0.332
2 Ni 0.668 0.668 0.668
3 Y 0.089 0.089 0.089
4 Y 0.911 0.911 0.911

| no. | total moment (μB/f.u.) | E (eV per atom) | ΔH_f (0 K) (meV/atom) |
| --- | --- | --- | --- |
| 1 | 0.00 | -5.49 | 637 |
| 2 | 0.01 | -6.43 | -310 |